## ScHg5 (PBE)

Data for a relaxed structure of ScHg5.

a b c (Å): 3.807 3.807 9.872
angles (deg): 90.00 90.00 90.00
Element x y z (fractional)
1 Sc 0.000 0.000 0.000
2 Hg 0.000 0.000 0.324
3 Hg 0.000 0.000 0.676
4 Hg 0.500 0.500 0.157
5 Hg 0.500 0.500 0.500
6 Hg 0.500 0.500 0.843

Values from the calculation:
The formation energy comes out at -0.091 eV/atom. Its space group is P4/mmm (123). The value obtained for the total moment is 0.00 μB per cell. Its uncorrected energy is -8.4 eV for the cell shown.

## Sc3Hg (PBE)

Data for a relaxed structure of Sc3Hg.

a b c (Å): 3.335 3.335 8.383
angles (deg): 90.00 90.00 90.00
Element x y z (fractional)
1 Sc 0.000 0.000 0.000
2 Sc 0.500 0.500 0.266
3 Sc 0.500 0.500 0.734
4 Hg 0.000 0.000 0.500

Values from the calculation:
The formation energy comes out at -0.192 eV/atom. Its space group is P4/mmm (123). The value obtained for the total moment is 0.00 μB per cell. Its uncorrected energy is -20.1 eV for the cell shown.

## ScHg3 (PBE)

Data for a relaxed structure of ScHg3.

a b c (Å): 3.536 3.536 8.945
angles (deg): 90.00 90.00 120.00
Element x y z (fractional)
1 Sc 0.000 0.000 0.000
2 Hg 0.000 0.000 0.500
3 Hg 0.667 0.333 0.240
4 Hg 0.667 0.333 0.760

Values from the calculation:
The formation energy comes out at -0.116 eV/atom. Its space group is P-6m2 (187). The value obtained for the total moment is 0.27 μB per cell. Its uncorrected energy is -7.7 eV for the cell shown.

## ScHg4 (PBE)

Data for a relaxed structure of ScHg4.

a b c (Å): 3.996 3.996 16.039
angles (deg): 90.00 90.00 90.00
Element x y z (fractional)
1 Sc 0.000 0.000 0.000
2 Sc 0.500 0.500 0.500
3 Hg 0.000 0.000 0.407
4 Hg 0.000 0.000 0.593
5 Hg 0.000 0.500 0.250
6 Hg 0.000 0.500 0.750
7 Hg 0.500 0.000 0.250
8 Hg 0.500 0.000 0.750
9 Hg 0.500 0.500 0.093
10 Hg 0.500 0.500 0.907

Values from the calculation:
The formation energy comes out at 0.069 eV/atom. Its space group is I4/mmm (139). The value obtained for the total moment is 0.08 μB per cell. Its uncorrected energy is -14.4 eV for the cell shown.

## ScHg5 (PBE)

Data for a relaxed structure of ScHg5.

a b c (Å): 4.583 13.891 4.377
angles (deg): 90.00 90.00 90.00
Element x y z (fractional)
1 Sc 0.000 0.000 0.000
2 Sc 0.500 0.500 0.000
3 Hg 0.000 0.161 0.500
4 Hg 0.000 0.336 0.000
5 Hg 0.000 0.500 0.500
6 Hg 0.000 0.664 0.000
7 Hg 0.000 0.839 0.500
8 Hg 0.500 0.000 0.500
9 Hg 0.500 0.164 0.000
10 Hg 0.500 0.339 0.500
11 Hg 0.500 0.661 0.500
12 Hg 0.500 0.836 0.000

Values from the calculation:
The formation energy comes out at -0.116 eV/atom. Its space group is Cmmm (65). The value obtained for the total moment is 0.00 μB per cell. Its uncorrected energy is -17.1 eV for the cell shown.

## Sc3Hg5 (PBE)

Data for a relaxed structure of Sc3Hg5.

a b c (Å): 8.614 8.614 5.920
angles (deg): 90.00 90.00 120.00
Element x y z (fractional)
1 Sc 0.000 0.381 0.250
2 Sc 0.000 0.619 0.750
3 Sc 0.381 0.000 0.250
4 Sc 0.381 0.381 0.750
5 Sc 0.619 0.000 0.750
6 Sc 0.619 0.619 0.250
7 Hg 0.000 0.269 0.750
8 Hg 0.000 0.731 0.250
9 Hg 0.269 0.000 0.750
10 Hg 0.269 0.269 0.250
11 Hg 0.333 0.667 0.000
12 Hg 0.333 0.667 0.500
13 Hg 0.667 0.333 0.000
14 Hg 0.667 0.333 0.500
15 Hg 0.731 0.000 0.250
16 Hg 0.731 0.731 0.750

Values from the calculation:
The formation energy comes out at -0.187 eV/atom. Its space group is P6_3/mcm (193). The value obtained for the total moment is 0.00 μB per cell. Its uncorrected energy is -44.0 eV for the cell shown.